Density functional theory data (GGA-PBE) for a relaxed structure of Li3Sm2Cd4.

Output
N(E_F): 26.5 states/eV/cell
final energy: -2.312 eV/atom
formation energy from the elements: -0.218 eV/atom

Unit cell a=6.075 b=16.087 c=8.440 alpha=90.00 beta=90.00 gamma=90.00
Space group Cmce (No. 64)
Asymmetric unit:
Li1 0.000 0.000 0.000
Li2 0.250 0.223 0.250
Sm1 0.000 0.113 0.587
Cd1 0.000 0.181 0.972
Cd2 0.250 0.053 0.250

---

Density functional theory data (GGA-PBE) for a relaxed structure of MgZn6Ir5.

Output
N(E_F): 4.2 states/eV/cell
final energy: -4.670 eV/atom
formation energy from the elements: -0.208 eV/atom

Unit cell a=4.297 b=6.156 c=12.952 alpha=90.00 beta=90.00 gamma=90.00
Space group Immm (No. 71)
Asymmetric unit:
Mg1 0.000 0.000 0.000
Zn1 0.000 0.237 0.500
Zn2 0.000 0.257 0.173
Ir1 0.000 0.000 0.336
Ir2 0.000 0.500 0.000
Ir3 0.000 0.500 0.343